1.
First-principles (PBE) data for a geometry-optimized La7Nd12Sm structure, as listed in the Alexandria database.

Results
* energy: -4.689 eV per atom
* ΔE_f: 0.13 eV per atom

Geometry as POSCAR:
```
La7Nd12Sm
1.0
9.558 -0.139 -0.208
-2.791 9.143 -0.208
-2.791 -3.713 8.357
Nd La Sm
12 7 1
direct
0.625 0.950 0.708
0.708 0.625 0.950
0.692 0.424 0.229
0.771 0.308 0.576
0.375 0.050 0.292
0.308 0.576 0.771
0.229 0.692 0.424
0.424 0.229 0.692
0.292 0.375 0.050
0.950 0.708 0.625
0.576 0.771 0.308
0.050 0.292 0.375
0.127 0.668 0.995
0.873 0.332 0.005
0.005 0.873 0.332
0.500 0.500 0.500
0.332 0.005 0.873
0.995 0.127 0.668
0.668 0.995 0.127
0.000 0.000 0.000
```

=====

2.
First-principles (PBE) data for a geometry-optimized Rb2BiPt structure, as listed in the Alexandria database.

Results
* energy: -3.139 eV per atom
* ΔE_f: -0.17 eV per atom

Geometry as POSCAR:
```
Rb2BiPt
1.0
-5.202 6.482 -10.178
9.759 -4.258 -7.700
0.884 -0.972 -9.554
Pt Rb Bi
2 4 2
direct
0.500 0.500 0.000
0.250 0.750 0.500
0.875 0.676 0.750
0.426 0.125 0.250
0.324 0.625 0.250
0.375 0.574 0.750
0.750 0.250 0.500
0.000 0.000 0.000
```

=====

3.
First-principles (PBE) data for a geometry-optimized ZnCrCuRu structure, as listed in the Alexandria database.

Results
* energy: -5.941 eV per atom
* ΔE_f: 0.13 eV per atom

Geometry as POSCAR:
```
ZnCrCuRu
1.0
-4.088 0.556 0.853
-2.017 -2.717 2.509
-1.204 1.190 3.857
Cr Zn Cu Ru
1 1 1 1
direct
0.500 0.500 0.500
0.000 0.000 0.000
0.250 0.250 0.250
0.750 0.750 0.750
```

=====

4.
First-principles (PBE) data for a geometry-optimized Y3HgO structure, as listed in the Alexandria database.

Results
* formation energy (no corrections): -30.4 kcal/mol of atoms
* energy: -6.249 eV per atom
* excess energy over the best structure of this formula in the dataset: 83 meV per atom

Geometry as POSCAR:
```
Y3HgO
1.0
-11.691 4.649 5.438
-8.523 -0.233 -2.630
3.167 -8.165 -1.704
O Y Hg
4 12 4
direct
0.755 0.663 0.533
0.255 0.967 0.837
0.745 0.033 0.163
0.245 0.337 0.467
0.133 0.202 0.237
0.133 0.895 0.848
0.983 0.333 0.573
0.867 0.105 0.152
0.367 0.348 0.395
0.633 0.263 0.298
0.483 0.927 0.167
0.867 0.798 0.763
0.633 0.652 0.605
0.017 0.667 0.427
0.367 0.737 0.702
0.517 0.073 0.833
0.750 0.247 0.747
0.250 0.414 0.914
0.250 0.753 0.253
0.750 0.586 0.086
```

=====

5.
First-principles (PBE) data for a geometry-optimized Sn2PdAu structure, as listed in the Alexandria database.

Results
* energy: -4.359 eV per atom
* ΔE_f: -0.24 eV per atom
* excess energy over the best structure of this formula in the dataset: 113 meV per atom

Geometry as POSCAR:
```
Sn2PdAu
1.0
3.270 0.003 -0.001
0.010 8.555 1.057
-1.634 -3.152 6.182
Sn Au Pd
4 2 2
direct
0.305 0.560 0.182
0.357 0.999 0.288
0.056 0.596 0.686
0.605 0.964 0.785
0.446 0.334 0.462
0.214 0.226 0.009
0.938 0.801 0.450
0.723 0.759 0.021
```

=====

6.
First-principles (PBE) data for a geometry-optimized ScTa2V structure, as listed in the Alexandria database.

Results
* energy: -9.090 eV per atom
* ΔE_f: 0.70 eV per atom
* excess energy over the best structure of this formula in the dataset: 414 meV per atom

Geometry as POSCAR:
```
ScTa2V
1.0
7.346 0.000 0.000
0.000 7.346 0.000
3.673 3.673 2.807
Ta Sc V
4 2 2
direct
0.096 0.625 0.250
0.375 0.346 0.750
0.875 0.904 0.750
0.654 0.125 0.250
0.500 0.500 0.000
0.250 0.750 0.500
0.000 0.000 0.000
0.750 0.250 0.500
```

=====

Look up the energy of the third one. -5.941 eV per atom

=====

Which formula does entry 5 have? Sn2PdAu

=====

Look up the energy of the third one. -5.941 eV per atom

=====

Look up the energy of the fifth one. -4.359 eV per atom